First-principles (PBE+U) data for a relaxed structure of VOsF2, as listed in the Alexandria database.

Cell and atoms, written as POSCAR:
```
VOsF2
1.0
0.000 2.982 2.982
2.982 0.000 2.982
2.982 2.982 0.000
V Os F
1 1 2
direct
0.000 0.000 0.000 V
0.500 0.500 0.500 Os
0.250 0.250 0.250 F
0.750 0.750 0.750 F
```

Calculated values
For the energy above the most stable polymorph in this dataset, the calculation gives 29.77 kcal/mol of atoms. The calculation puts the total energy at -5.03 eV/atom.